The following is a DFT calculation (GGA-PBE) of an optimized crystal structure of CaMg3Os.

Computed properties:
- formation energy (meV per atom) = 2156
- space group = Pm-3m
- total moment (μB/cell) = 0.0
- mass density (g/cm³) = 3.67

Cell and atoms, written as POSCAR:
```
CaMg3Os
1.0
5.158 0.000 0.000
0.000 5.158 0.000
0.000 0.000 5.158
Ca Mg Os
1 3 1
Direct
0.000 0.000 0.000 Ca
0.000 0.000 0.500 Mg
0.000 0.500 0.000 Mg
0.500 0.000 0.000 Mg
0.500 0.500 0.500 Os
```



The following is a DFT calculation (GGA-PBE) of an optimized crystal structure of Tl2AgHg8.

Computed properties:
- formation energy (meV per atom) = 7
- space group = P4/mmm
- total moment (μB/cell) = 0.0
- mass density (g/cm³) = 11.60

Cell and atoms, written as POSCAR:
```
Tl2AgHg8
1.0
4.890 0.000 0.000
0.000 4.890 0.000
0.000 0.000 12.700
Tl Ag Hg
2 1 8
Direct
0.000 0.000 0.188 Tl
0.000 0.000 0.812 Tl
0.000 0.000 0.500 Ag
0.000 0.500 0.000 Hg
0.000 0.500 0.370 Hg
0.000 0.500 0.630 Hg
0.500 0.000 0.000 Hg
0.500 0.000 0.370 Hg
0.500 0.000 0.630 Hg
0.500 0.500 0.186 Hg
0.500 0.500 0.814 Hg
```



The following is a DFT calculation (GGA-PBE) of an optimized crystal structure of Hf3CdIn.

Computed properties:
- formation energy (meV per atom) = 1017
- space group = Pm-3m
- total moment (μB/cell) = 0.0
- mass density (g/cm³) = 9.23

Cell and atoms, written as POSCAR:
```
Hf3CdIn
1.0
5.159 0.000 0.000
0.000 5.159 0.000
0.000 0.000 5.159
Hf Cd In
3 1 1
Direct
0.000 0.000 0.500 Hf
0.000 0.500 0.000 Hf
0.500 0.000 0.000 Hf
0.000 0.000 0.000 Cd
0.500 0.500 0.500 In
```



The following is a DFT calculation (GGA-PBE) of an optimized crystal structure of TlTeP2.

Computed properties:
- space group = P2/m
- total moment (μB/cell) = 0.0
- mass density (g/cm³) = 6.77

Cell and atoms, written as POSCAR:
```
TlTeP2
1.0
2.930 0.000 0.000
0.000 3.980 0.000
-0.019 0.000 8.284
Tl Te P
1 1 2
Direct
0.000 0.000 0.000 Tl
0.000 0.000 0.500 Te
0.005 0.500 0.734 P
0.995 0.500 0.266 P
```



The following is a DFT calculation (GGA-PBE) of an optimized crystal structure of Mg2TlCl.

Computed properties:
- space group = P4/mmm
- total moment (μB/cell) = 0.0
- mass density (g/cm³) = 5.01

Cell and atoms, written as POSCAR:
```
Mg2TlCl
1.0
3.487 0.000 0.000
0.000 3.487 0.000
0.000 0.000 7.861
Mg Tl Cl
2 1 1
Direct
0.000 0.000 0.244 Mg
0.000 0.000 0.756 Mg
0.500 0.500 0.000 Tl
0.500 0.500 0.500 Cl
```



The following is a DFT calculation (GGA-PBE) of an optimized crystal structure of TbSmSb2O8.

Computed properties:
- space group = I-4
- total moment (μB/cell) = 0.0
- mass density (g/cm³) = 7.06

Cell and atoms, written as POSCAR:
```
TbSmSb2O8
1.0
-2.655 2.655 5.676
2.655 -2.655 5.676
2.655 2.655 -5.676
Tb Sm Sb O
1 1 2 8
Direct
0.000 0.000 0.000 Tb
0.250 0.750 0.500 Sm
0.500 0.500 0.000 Sb
0.750 0.250 0.500 Sb
0.015 0.087 0.423 O
0.231 0.665 0.071 O
0.335 0.406 0.567 O
0.408 0.985 0.071 O
0.594 0.161 0.929 O
0.663 0.592 0.577 O
0.839 0.769 0.433 O
0.913 0.337 0.929 O
```



The following is a DFT calculation (GGA-PBE) of an optimized crystal structure of NiP2.

Computed properties:
- formation energy (meV per atom) = 65
- space group = Immm
- total moment (μB/cell) = 0.0
- mass density (g/cm³) = 4.51

Cell and atoms, written as POSCAR:
```
NiP2
1.0
-1.250 1.639 5.423
1.250 -1.639 5.423
1.250 1.639 -5.423
Ni P
1 2
Direct
0.000 0.000 0.000 Ni
0.381 0.381 0.000 P
0.619 0.619 0.000 P
```



The following is a DFT calculation (GGA-PBE) of an optimized crystal structure of Ni6MoPt8.

Computed properties:
- formation energy (meV per atom) = 93
- space group = P-3
- total moment (μB/cell) = 0.0
- mass density (g/cm³) = 14.76

Cell and atoms, written as POSCAR:
```
Ni6MoPt8
1.0
7.157 0.000 0.000
-3.578 6.198 0.000
0.000 0.000 5.094
Ni Mo Pt
6 1 8
Direct
0.029 0.671 0.140 Ni
0.329 0.359 0.140 Ni
0.359 0.029 0.860 Ni
0.641 0.971 0.140 Ni
0.671 0.641 0.860 Ni
0.971 0.329 0.860 Ni
0.000 0.000 0.000 Mo
0.019 0.702 0.646 Pt
0.298 0.318 0.646 Pt
0.318 0.019 0.354 Pt
0.333 0.667 0.887 Pt
0.667 0.333 0.113 Pt
0.682 0.981 0.646 Pt
0.702 0.682 0.354 Pt
0.981 0.298 0.354 Pt
```



The following is a DFT calculation (GGA-PBE) of an optimized crystal structure of SrCaGaPt.

Computed properties:
- formation energy (meV per atom) = -701
- space group = Amm2
- total moment (μB/cell) = 0.0
- mass density (g/cm³) = 5.94

Cell and atoms, written as POSCAR:
```
SrCaGaPt
1.0
4.432 0.000 0.000
0.000 2.176 5.687
0.000 -2.176 5.687
Sr Ca Ga Pt
1 1 1 1
Direct
0.000 0.000 0.000 Sr
0.500 0.284 0.284 Ca
0.000 0.708 0.708 Ga
0.500 0.597 0.597 Pt
```



The following is a DFT calculation (GGA-PBE) of an optimized crystal structure of CeDyAgPt.

Computed properties:
- formation energy (meV per atom) = -634
- space group = F-43m
- total moment (μB/cell) = 0.9
- mass density (g/cm³) = 10.77

Cell and atoms, written as POSCAR:
```
CeDyAgPt
1.0
0.000 3.600 3.600
3.600 0.000 3.600
3.600 3.600 0.000
Ce Dy Ag Pt
1 1 1 1
Direct
0.000 0.000 0.000 Ce
0.500 0.500 0.500 Dy
0.750 0.750 0.750 Ag
0.250 0.250 0.250 Pt
```



The following is a DFT calculation (GGA-PBE) of an optimized crystal structure of KBaRh3.

Computed properties:
- formation energy (meV per atom) = 1409
- space group = Pm-3m
- total moment (μB/cell) = 1.8
- mass density (g/cm³) = 6.28

Cell and atoms, written as POSCAR:
```
KBaRh3
1.0
5.043 0.000 0.000
0.000 5.043 0.000
0.000 0.000 5.043
K Ba Rh
1 1 3
Direct
0.000 0.000 0.000 K
0.500 0.500 0.500 Ba
0.000 0.000 0.500 Rh
0.000 0.500 0.000 Rh
0.500 0.000 0.000 Rh
```



The following is a DFT calculation (GGA-PBE) of an optimized crystal structure of NaPaSb.

Computed properties:
- space group = R-3m
- total moment (μB/cell) = 4.0
- mass density (g/cm³) = 7.05

Cell and atoms, written as POSCAR:
```
NaPaSb
1.0
2.361 1.363 9.169
-2.361 1.363 9.169
0.000 -2.726 9.169
Na Pa Sb
2 2 2
Direct
0.138 0.138 0.138 Na
0.862 0.862 0.862 Na
0.304 0.304 0.304 Pa
0.696 0.696 0.696 Pa
0.421 0.421 0.421 Sb
0.579 0.579 0.579 Sb
```



Listing total energy for the structures above in their given order: -7.2; -9.9; -28.4; -14.6; -8.9; -85.2; -16.4; -92.4; -15.6; -22.0; -18.0; -29.9 eV per cell.